Entry 1:
Entry from Alexandria: an optimized crystal structure of Ba2SI (PBE).

a = 4.6241 Å, b = 4.6241 Å, c = 24.6844 Å
α = 90.00°, β = 90.00°, γ = 120.00°
With the nearest neighbours (Å) after each atom.
Space group R-3m (No. 166, hexagonal axes)
Unique sites:
1 Ba 0.0000 0.0000 0.2346 (multiplicity 6)  3 S 3.15
2 S 0.0000 0.0000 0.5000 (multiplicity 3)  6 Ba 3.15
3 I 0.0000 0.0000 0.0000 (multiplicity 3)  6 Ba 3.61

Raw formation energy in eV per atom: -1.73
Energy relative to the lowest polymorph listed for this composition in eV per atom: 0.0000
V in Å³/cell: 457.1
Size of the total moment in μB per formula unit: 0.00

Entry 2:
Entry from Alexandria: an optimized crystal structure of AcMg2Ag4 (PBE).

a = 8.1732 Å, b = 8.1732 Å, c = 5.9631 Å
α = 90.00°, β = 90.00°, γ = 90.00°
With the nearest neighbours (Å) after each atom.
Space group I4/mmm (No. 139)
Unique sites:
1 Ac 0.0000 0.0000 0.0000 (multiplicity 2)  8 Ag 3.53
2 Mg 0.0000 0.5000 0.2500 (multiplicity 4)  4 Ag 2.65
3 Ag 0.0000 0.2321 0.5000 (multiplicity 8)  2 Mg 2.65, 2 Ag 2.68

Energy relative to the lowest polymorph listed for this composition in eV per atom: 0.4461
E_form in eV/atom: 0.163
V in Å³/cell: 398.3
Size of the total moment in μB per formula unit: 0.00

Entry 3:
Entry from Alexandria: an optimized crystal structure of FeOs (PBE).

a = 2.6246 Å, b = 9.5225 Å, c = 3.9612 Å
α = 90.00°, β = 90.00°, γ = 90.00°
With the nearest neighbours (Å) after each atom.
Space group Cmcm (No. 63)
Unique sites:
1 Fe 0.0000 0.0647 0.2500 (multiplicity 4)  2 Fe 2.33, 7 Os 2.54-2.58
2 Os 0.0000 0.3319 0.2500 (multiplicity 4)  7 Fe 2.54-2.58, 6 Os 2.62-2.84

E_form in eV/atom: 0.090
V in Å³/cell: 99.0
Size of the total moment in μB per formula unit: 0.01

Entry 4:
Entry from Alexandria: an optimized crystal structure of Sr2PmNpO6 (PBE).

a = 6.0250 Å, b = 6.1887 Å, c = 10.5088 Å
α = 90.00°, β = 124.84°, γ = 90.00°
With the nearest neighbours (Å) after each atom.
Space group P2_1/c (No. 14)
Unique sites:
1 Sr 0.2388 0.0463 0.2512 (multiplicity 4)  4 O 2.51-2.64
2 Pm 0.5000 0.0000 0.0000 (multiplicity 2)  6 O 2.35-2.36
3 Np 0.0000 0.0000 0.5000 (multiplicity 2)  6 O 2.14-2.17
4 O 0.1289 0.2140 0.9390 (multiplicity 4)  1 Np 2.17, 1 Pm 2.35
5 O 0.2331 0.6907 0.9471 (multiplicity 4)  1 Np 2.14, 1 Pm 2.35
6 O 0.3443 0.0441 0.7382 (multiplicity 4)  1 Np 2.17, 1 Pm 2.36

Raw formation energy in eV per atom: -3.10
V in Å³/cell: 321.6
Size of the total moment in μB per formula unit: 2.00

Entry 5:
Entry from Alexandria: an optimized crystal structure of Ba2BeW (PBE).

a = 7.9880 Å, b = 8.0096 Å, c = 3.8518 Å
α = 90.00°, β = 90.00°, γ = 90.00°
With the nearest neighbours (Å) after each atom.
Space group Cmmm (No. 65)
Unique sites:
1 Ba 0.2500 0.2500 0.0000 (multiplicity 4)  4 W 3.42, 4 Be 3.42
2 Be 0.0000 0.0000 0.5000 (multiplicity 2)  8 Ba 3.42
3 W 0.0000 0.5000 0.5000 (multiplicity 2)  8 Ba 3.42

E_form in eV/atom: 1.369
V in Å³/cell: 246.4
Size of the total moment in μB per formula unit: 2.71

Entry 6:
Entry from Alexandria: an optimized crystal structure of HoNbIr (PBE).

a = 4.5499 Å, b = 4.5499 Å, c = 6.4831 Å
α = 90.00°, β = 90.00°, γ = 90.00°
With the nearest neighbours (Å) after each atom.
Space group P4/nmm (No. 129, origin choice 2)
Unique sites:
1 Ho 0.2500 0.2500 0.1348 (multiplicity 2)  1 Ir 2.86
2 Nb 0.2500 0.7500 0.5000 (multiplicity 2)  4 Ir 2.60
3 Ir 0.2500 0.2500 0.6929 (multiplicity 2)  4 Nb 2.60, 1 Ho 2.86

E_form in eV/atom: -0.504
V in Å³/cell: 134.2
Size of the total moment in μB per formula unit: 0.00